Compound: Na2GaAgAu6
Source: the Alexandria database
Functional: PBE-GGA
Structure: optimized geometry

The space group is Fm-3m (No. 225) and the conventional cell measures 10.1425, 10.1425 and 10.1425 Å, with angles of 90.00, 90.00 and 90.00 degrees. Symmetry generates all atoms from Na at (0.2500, 0.2500, 0.2500), Ga at (0.0000, 0.0000, 0.0000), Ag at (0.0000, 0.0000, 0.5000) and Au at (0.0000, 0.0000, 0.2421).

The calculation puts the total magnetization at 0.0 μB per cell. The value obtained for the total energy is -108.96 eV for the cell shown. The value obtained for the density is 8.947 g/cm³. The calculated volume is 1043 Å³/cell.

=====

Compound: Pd3Pt2Rh
Source: the Alexandria database
Functional: PBE-GGA
Structure: optimized geometry

The space group is Pnnm (No. 58) and the conventional cell measures 8.3657, 9.7870 and 2.6839 Å, with angles of 90.00, 90.00 and 90.00 degrees. Symmetry generates all atoms from Pd at (0.0000, 0.0000, 0.0000), Pd at (0.2473, 0.3859, 0.0000), Pt at (0.0393, 0.7312, 0.0000) and Rh at (0.0000, 0.5000, 0.5000).

The calculation puts the total magnetization at 0.0 μB per cell. As for the offset from the most stable computed form: 317 meV/atom. The value obtained for the density is 12.277 g/cm³. The calculated volume is 220 Å³/cell.

=====

Compound: Rb2ScAsOs
Source: the Alexandria database
Functional: PBE-GGA
Structure: optimized geometry

The space group is P4/mmm (No. 123) and the conventional cell measures 7.0914, 7.0914 and 4.9510 Å, with angles of 90.00, 90.00 and 90.00 degrees. Symmetry generates all atoms from Rb at (0.0000, 0.5000, 0.0000), Sc at (0.0000, 0.0000, 0.0000), As at (0.0000, 0.0000, 0.5000) and Os at (0.5000, 0.5000, 0.5000).

The calculation puts the total magnetization at 3.9 μB per cell. The value obtained for the total energy is -17.17 eV for the cell shown. The value obtained for the density is 3.208 g/cm³. The calculated volume is 249 Å³/cell.

=====

Compound: ScTl2Fe
Source: the Alexandria database
Functional: PBE-GGA
Structure: optimized geometry

The space group is I-42d (No. 122) and the conventional cell measures 7.7740, 7.7740 and 6.0431 Å, with angles of 90.00, 90.00 and 90.00 degrees. Symmetry generates all atoms from Sc at (0.0000, 0.0000, 0.0000), Tl at (0.2159, 0.7500, 0.6250) and Fe at (0.0000, 0.0000, 0.5000).

The calculation puts the total magnetization at 8.5 μB per cell. As for the offset from the most stable computed form: 149 meV/atom. The value obtained for the density is 9.268 g/cm³. The calculated volume is 365 Å³/cell.